No. 1
Computed, not measured: an optimized crystal structure of FeMo3C at the PBE-GGA level of DFT.

Properties
**Final energy**: -9.7311 eV per atom
**Formation energy**: 1.52 eV per formula unit
**Total moment**: 0.0 μB per cell

Lattice parameters (Å, degrees): 4.087 4.087 4.087 90.00 90.00 90.00
Sites, in units of the cell vectors:
Mo  0.000  0.500  0.000
C  0.000  0.000  0.000
Mo  0.000  0.000  0.500
Fe  0.500  0.500  0.500
Mo  0.500  0.000  0.000

=====

No. 2
Computed, not measured: an optimized crystal structure of FeMoC at the PBE-GGA level of DFT.

Properties
**Final energy**: -9.4062 eV per atom
**Formation energy**: 0.30 eV per formula unit
**Total moment**: 2.7 μB per cell

Lattice parameters (Å, degrees): 2.926 4.759 5.829 125.29 89.99 90.01
Sites, in units of the cell vectors:
Fe  0.000  0.508  0.273
Mo  0.500  0.029  0.756
Mo  0.500  0.971  0.244
C  0.500  0.500  0.500
Fe  0.000  0.492  0.727
C  0.000  0.000  0.000

=====

No. 3
Computed, not measured: an optimized crystal structure of Na2FeMoC at the PBE-GGA level of DFT.

Properties
**Final energy**: -4.7722 eV per atom
**Formation energy**: 7.29 eV per formula unit
**Total moment**: 0.6 μB per cell

Lattice parameters (Å, degrees): 4.495 4.137 4.495 90.00 90.00 90.00
Sites, in units of the cell vectors:
Na  0.000  0.000  0.500
Fe  0.500  0.500  0.500
Mo  0.000  0.500  0.000
C  0.000  0.000  0.000
Na  0.500  0.000  0.000

=====

No. 4
Computed, not measured: an optimized crystal structure of NbFe2MoC at the PBE-GGA level of DFT.

Properties
**Final energy**: -9.4395 eV per atom
**Formation energy**: -0.15 eV per formula unit
**Total moment**: 0.0 μB per cell

Lattice parameters (Å, degrees): 3.829 3.829 4.153 90.00 90.00 90.00
Sites, in units of the cell vectors:
Mo  0.000  0.000  0.500
C  0.000  0.000  0.000
Fe  0.500  0.000  0.000
Fe  0.000  0.500  0.000
Nb  0.500  0.500  0.500

=====

No. 5
Computed, not measured: an optimized crystal structure of NdFeMoC3 at the PBE-GGA level of DFT.

Properties
**Final energy**: -8.4642 eV per atom
**Formation energy**: 0.95 eV per formula unit
**Total moment**: 0.0 μB per cell

Lattice parameters (Å, degrees): 3.278 6.892 7.455 106.41 90.00 90.00
Sites, in units of the cell vectors:
C  0.250  0.550  0.847
C  0.250  0.822  0.468
Mo  0.750  0.341  0.868
C  0.250  0.125  0.858
Nd  0.750  0.805  0.786
C  0.750  0.178  0.532
Nd  0.250  0.195  0.214
Fe  0.250  0.101  0.606
C  0.750  0.875  0.142
Fe  0.750  0.899  0.394
C  0.750  0.450  0.153
Mo  0.250  0.659  0.132

=====

No. 6
Computed, not measured: an optimized crystal structure of FeMo2PtC at the PBE-GGA level of DFT.

Properties
**Final energy**: -9.0760 eV per atom
**Formation energy**: 0.01 eV per formula unit
**Total moment**: 1.8 μB per cell

Lattice parameters (Å, degrees): 4.146 4.146 3.838 90.00 90.00 90.00
Sites, in units of the cell vectors:
Mo  0.000  0.500  0.000
C  0.000  0.000  0.000
Fe  0.000  0.000  0.500
Pt  0.500  0.500  0.500
Mo  0.500  0.000  0.000

=====

Which formula does entry 6 have?
FeMo2PtC